# 1
Compound: LaCo2Ru
Source: the Alexandria database
Functional: GGA-PBEsol
Structure: relaxed

The raw total energy comes out at -7.707 eV/atom. As for the symmetry: R3m.

a = 5.4684 Å, b = 5.4684 Å, c = 5.4684 Å
α = 44.25°, β = 44.25°, γ = 44.25°
Sites, in units of the cell vectors:
La: 0.0000 0.0000 0.0000
Co: 0.4994 0.4994 0.4994
Co: 0.8133 0.8133 0.8133
Ru: 0.1864 0.1864 0.1864

# 2
Compound: MgCuSb
Source: the Alexandria database
Functional: GGA-PBEsol
Structure: relaxed

The raw total energy comes out at -3.508 eV/atom. Its formation energy from raw total energies is 0.0287 eV/atom. As for the symmetry: I4mm.

a = 4.7966 Å, b = 4.7966 Å, c = 4.7966 Å
α = 132.98°, β = 132.98°, γ = 68.69°
Sites, in units of the cell vectors:
Mg: 0.0000 0.0000 0.0000
Cu: 0.6752 0.6752 0.0000
Sb: 0.3424 0.3424 0.0000

# 3
Compound: HgGeCl3
Source: the Alexandria database
Functional: GGA-PBEsol
Structure: relaxed

The raw total energy comes out at -2.739 eV/atom. Its formation energy from raw total energies is -0.4328 eV/atom. As for the symmetry: Pm-3m.

a = 4.9663 Å, b = 4.9663 Å, c = 4.9663 Å
α = 90.00°, β = 90.00°, γ = 90.00°
Sites, in units of the cell vectors:
Hg: 0.0000 0.0000 0.0000
Ge: 0.5000 0.5000 0.5000
Cl: 0.0000 0.5000 0.5000
Cl: 0.5000 0.0000 0.5000
Cl: 0.5000 0.5000 0.0000

# 4
Compound: Te8Ir3
Source: the Alexandria database
Functional: GGA-PBEsol
Structure: relaxed

The raw total energy comes out at -5.514 eV/atom. Its formation energy from raw total energies is -0.2708 eV/atom. As for the symmetry: R-3.

a = 6.4110 Å, b = 6.4110 Å, c = 6.4110 Å
α = 90.87°, β = 90.87°, γ = 90.87°
Sites, in units of the cell vectors:
Te: 0.1325 0.1325 0.1325
Te: 0.1340 0.6310 0.3770
Te: 0.3690 0.6230 0.8660
Te: 0.3770 0.1340 0.6310
Te: 0.6230 0.8660 0.3690
Te: 0.6310 0.3770 0.1340
Te: 0.8660 0.3690 0.6230
Te: 0.8675 0.8675 0.8675
Ir: 0.0000 0.0000 0.5000
Ir: 0.0000 0.5000 0.0000
Ir: 0.5000 0.0000 0.0000

# 5
Compound: Ni2SbRh
Source: the Alexandria database
Functional: GGA-PBEsol
Structure: relaxed

The raw total energy comes out at -6.464 eV/atom. Its formation energy from raw total energies is -0.2111 eV/atom. As for the symmetry: I-4m2.

a = 4.5240 Å, b = 4.5240 Å, c = 4.5240 Å
α = 129.88°, β = 129.88°, γ = 73.60°
Sites, in units of the cell vectors:
Ni: 0.0000 0.0000 0.0000
Ni: 0.7500 0.2500 0.5000
Sb: 0.5000 0.5000 0.0000
Rh: 0.2500 0.7500 0.5000

# 6
Compound: Ba2CuPt2
Source: the Alexandria database
Functional: GGA-PBEsol
Structure: relaxed

The raw total energy comes out at -4.788 eV/atom. As for the symmetry: I4/mmm.

a = 5.7174 Å, b = 5.7174 Å, c = 5.7174 Å
α = 116.07°, β = 116.07°, γ = 96.96°
Sites, in units of the cell vectors:
Ba: 0.2500 0.7500 0.5000
Ba: 0.7500 0.2500 0.5000
Cu: 0.0000 0.0000 0.0000
Pt: 0.3264 0.3264 0.0000
Pt: 0.6736 0.6736 0.0000

# 7
Compound: Cd2Rh
Source: the Alexandria database
Functional: GGA-PBEsol
Structure: relaxed

The raw total energy comes out at -3.598 eV/atom. As for the symmetry: Cmcm.

a = 7.2619 Å, b = 7.2619 Å, c = 4.5754 Å
α = 90.00°, β = 90.00°, γ = 155.03°
Sites, in units of the cell vectors:
Cd: 0.0607 0.9393 0.7500
Cd: 0.2685 0.7315 0.2500
Cd: 0.7315 0.2685 0.7500
Cd: 0.9393 0.0607 0.2500
Rh: 0.3954 0.6046 0.7500
Rh: 0.6046 0.3954 0.2500

# 8
Compound: Cr7Ir6
Source: the Alexandria database
Functional: GGA-PBEsol
Structure: relaxed

The raw total energy comes out at -10.173 eV/atom. As for the symmetry: R-3m.

a = 9.0262 Å, b = 9.0262 Å, c = 9.0262 Å
α = 29.89°, β = 29.89°, γ = 29.89°
Sites, in units of the cell vectors:
Cr: 0.0000 0.0000 0.0000
Cr: 0.0923 0.0923 0.5871
Cr: 0.0923 0.5871 0.0923
Cr: 0.4129 0.9077 0.9077
Cr: 0.5871 0.0923 0.0923
Cr: 0.9077 0.4129 0.9077
Cr: 0.9077 0.9077 0.4129
Ir: 0.1637 0.1637 0.1637
Ir: 0.3482 0.3482 0.3482
Ir: 0.4520 0.4520 0.4520
Ir: 0.5480 0.5480 0.5480
Ir: 0.6518 0.6518 0.6518
Ir: 0.8363 0.8363 0.8363

# 9
Compound: Lu2SO2
Source: the Alexandria database
Functional: GGA-PBEsol
Structure: relaxed

The raw total energy comes out at -8.260 eV/atom. Its formation energy from raw total energies is -3.3341 eV/atom. As for the symmetry: P-3m1.

a = 3.6543 Å, b = 3.6543 Å, c = 6.3939 Å
α = 90.00°, β = 90.00°, γ = 120.00°
Sites, in units of the cell vectors:
Lu: 0.3333 0.6667 0.2836
Lu: 0.6667 0.3333 0.7164
S: 0.0000 0.0000 0.0000
O: 0.3333 0.6667 0.6295
O: 0.6667 0.3333 0.3705

# 10
Compound: AlTl2Cr
Source: the Alexandria database
Functional: GGA-PBEsol
Structure: relaxed

The raw total energy comes out at -4.373 eV/atom. The value obtained for the energy above the lowest structure with this stoichiometry is 0.069 eV per atom. As for the symmetry: I4/mmm.

a = 5.2399 Å, b = 5.2399 Å, c = 5.2399 Å
α = 129.46°, β = 129.46°, γ = 74.28°
Sites, in units of the cell vectors:
Al: 0.0000 0.0000 0.0000
Tl: 0.2500 0.7500 0.5000
Tl: 0.7500 0.2500 0.5000
Cr: 0.5000 0.5000 0.0000

# 11
Compound: Li3MnBi
Source: the Alexandria database
Functional: GGA-PBEsol
Structure: relaxed

The raw total energy comes out at -3.516 eV/atom. As for the symmetry: Pm-3m.

a = 5.1795 Å, b = 5.1795 Å, c = 5.1795 Å
α = 90.00°, β = 90.00°, γ = 90.00°
Sites, in units of the cell vectors:
Li: 0.0000 0.0000 0.5000
Li: 0.0000 0.5000 0.0000
Li: 0.5000 0.0000 0.0000
Mn: 0.5000 0.5000 0.5000
Bi: 0.0000 0.0000 0.0000

# 12
Compound: YLuGa6
Source: the Alexandria database
Functional: GGA-PBEsol
Structure: relaxed

The raw total energy comes out at -4.525 eV/atom. As for the symmetry: P6_3/mmc.

a = 5.9805 Å, b = 5.9805 Å, c = 9.3399 Å
α = 90.00°, β = 90.00°, γ = 120.00°
Sites, in units of the cell vectors:
Y: 0.3333 0.6667 0.2500
Y: 0.6667 0.3333 0.7500
Lu: 0.0000 0.0000 0.0000
Lu: 0.0000 0.0000 0.5000
Ga: 0.0000 0.5000 0.0000
Ga: 0.0000 0.5000 0.5000
Ga: 0.1816 0.3633 0.7500
Ga: 0.1816 0.8184 0.7500
Ga: 0.3633 0.1816 0.2500
Ga: 0.5000 0.0000 0.0000
Ga: 0.5000 0.0000 0.5000
Ga: 0.5000 0.5000 0.0000
Ga: 0.5000 0.5000 0.5000
Ga: 0.6367 0.8184 0.7500
Ga: 0.8184 0.1816 0.2500
Ga: 0.8184 0.6367 0.2500

# 13
Compound: LiYW3
Source: the Alexandria database
Functional: GGA-PBEsol
Structure: relaxed

The raw total energy comes out at -8.553 eV/atom. As for the symmetry: Pm-3m.

a = 4.3946 Å, b = 4.3946 Å, c = 4.3946 Å
α = 90.00°, β = 90.00°, γ = 90.00°
Sites, in units of the cell vectors:
Li: 0.0000 0.0000 0.0000
Y: 0.5000 0.5000 0.5000
W: 0.0000 0.0000 0.5000
W: 0.0000 0.5000 0.0000
W: 0.5000 0.0000 0.0000

# 14
Compound: YCrOs
Source: the Alexandria database
Functional: GGA-PBEsol
Structure: relaxed

The raw total energy comes out at -9.588 eV/atom. As for the symmetry: I4mm.

a = 6.0286 Å, b = 6.0286 Å, c = 6.0286 Å
α = 151.10°, β = 151.10°, γ = 41.32°
Sites, in units of the cell vectors:
Y: 0.0000 0.0000 0.0000
Cr: 0.6965 0.6965 0.0000
Os: 0.3010 0.3010 0.0000

# 15
Compound: La2RuBr
Source: the Alexandria database
Functional: GGA-PBEsol
Structure: relaxed

The raw total energy comes out at -6.245 eV/atom. The value obtained for the energy above the lowest structure with this stoichiometry is 0.282 eV per atom. Its formation energy from raw total energies is -0.5613 eV/atom. As for the symmetry: Immm.

a = 5.2453 Å, b = 5.2453 Å, c = 5.2453 Å
α = 129.36°, β = 111.01°, γ = 90.41°
Sites, in units of the cell vectors:
La: 0.2279 0.2279 0.0000
La: 0.7721 0.7721 0.0000
Ru: 0.0000 0.5000 0.5000
Br: 0.5000 0.0000 0.5000

# 16
Compound: InPbNCl2
Source: the Alexandria database
Functional: GGA-PBEsol
Structure: relaxed

The raw total energy comes out at -3.514 eV/atom. Its formation energy from raw total energies is 0.3909 eV/atom. As for the symmetry: P4/mmm.

a = 5.8415 Å, b = 5.8415 Å, c = 3.6901 Å
α = 90.00°, β = 90.00°, γ = 90.00°
Sites, in units of the cell vectors:
In: 0.0000 0.0000 0.0000
Pb: 0.5000 0.5000 0.0000
N: 0.0000 0.0000 0.5000
Cl: 0.0000 0.5000 0.5000
Cl: 0.5000 0.0000 0.5000

# 17
Compound: ZnTcSe2
Source: the Alexandria database
Functional: GGA-PBEsol
Structure: relaxed

The raw total energy comes out at -4.727 eV/atom. The value obtained for the energy above the lowest structure with this stoichiometry is 0.462 eV per atom. Its formation energy from raw total energies is 0.4099 eV/atom. As for the symmetry: R-3m.

a = 8.2831 Å, b = 8.2831 Å, c = 8.2831 Å
α = 22.46°, β = 22.46°, γ = 22.46°
Sites, in units of the cell vectors:
Zn: 0.0000 0.0000 0.0000
Tc: 0.5000 0.5000 0.5000
Se: 0.4035 0.4035 0.4035
Se: 0.5965 0.5965 0.5965

# 18
Compound: BaCaFe2Co2O7
Source: the Alexandria database
Functional: GGA-PBEsol
Structure: relaxed

The raw total energy comes out at -7.345 eV/atom. Its formation energy from raw total energies is -1.6196 eV/atom. As for the symmetry: Cm.

a = 6.2603 Å, b = 6.2603 Å, c = 10.1664 Å
α = 91.33°, β = 91.33°, γ = 59.81°
Sites, in units of the cell vectors:
Ba: 0.0000 0.0000 0.0000
Ba: 0.6247 0.6247 0.5115
Ca: 0.6397 0.6397 0.1300
Ca: 0.9778 0.9778 0.6353
Fe: 0.1142 0.6582 0.3302
Fe: 0.3019 0.3019 0.5796
Fe: 0.3160 0.3160 0.0801
Fe: 0.6582 0.1142 0.3302
Co: 0.0769 0.0769 0.3358
Co: 0.4911 0.4911 0.8180
Co: 0.5002 0.9654 0.8289
Co: 0.9654 0.5002 0.8289
O: 0.0019 0.4544 0.0089
O: 0.1477 0.1477 0.4995
O: 0.1629 0.6134 0.5101
O: 0.2803 0.7970 0.2415
O: 0.3116 0.3116 0.7605
O: 0.3213 0.3213 0.2585
O: 0.3456 0.8074 0.7470
O: 0.4544 0.0019 0.0089
O: 0.4642 0.4642 0.9956
O: 0.6134 0.1629 0.5101
O: 0.7737 0.7737 0.3032
O: 0.7970 0.2803 0.2415
O: 0.8074 0.3456 0.7470
O: 0.8333 0.8333 0.7918

# 19
Compound: BaCuP
Source: the Alexandria database
Functional: GGA-PBEsol
Structure: relaxed

The raw total energy comes out at -4.026 eV/atom. As for the symmetry: P6_3/mmc.

a = 5.1947 Å, b = 5.1947 Å, c = 6.3137 Å
α = 90.00°, β = 90.00°, γ = 120.00°
Sites, in units of the cell vectors:
Ba: 0.3333 0.6667 0.2500
Ba: 0.6667 0.3333 0.7500
Cu: 0.0000 0.0000 0.0000
Cu: 0.0000 0.0000 0.5000
P: 0.3333 0.6667 0.7500
P: 0.6667 0.3333 0.2500

# 20
Compound: Y4Mg3Cu2
Source: the Alexandria database
Functional: GGA-PBEsol
Structure: relaxed

The raw total energy comes out at -4.656 eV/atom. As for the symmetry: C2/m.

a = 7.5679 Å, b = 7.5679 Å, c = 6.6375 Å
α = 103.93°, β = 103.93°, γ = 34.94°
Sites, in units of the cell vectors:
Y: 0.0764 0.0764 0.3360
Y: 0.2739 0.2739 0.8078
Y: 0.7261 0.7261 0.1922
Y: 0.9236 0.9236 0.6640
Mg: 0.3941 0.3941 0.3210
Mg: 0.5000 0.5000 0.0000
Mg: 0.6059 0.6059 0.6790
Cu: 0.1096 0.1096 0.9380
Cu: 0.8904 0.8904 0.0620

| no. | DOS(E_F) (states/eV/cell) |
| --- | --- |
| 1 | 3.5 |
| 2 | 0.9 |
| 3 | 4.6 |
| 4 | 3.3 |
| 5 | 3.5 |
| 6 | 1.6 |
| 7 | 2.0 |
| 8 | 10.1 |
| 9 | 0.0 |
| 10 | 2.3 |
| 11 | 2.5 |
| 12 | 4.8 |
| 13 | 5.9 |
| 14 | 3.8 |
| 15 | 1.8 |
| 16 | 3.2 |
| 17 | 3.3 |
| 18 | 10.5 |
| 19 | 1.4 |
| 20 | 6.7 |